Entry 1:
ZrCu PBE optimized geometry; energy relative to the elements = 5.3 kJ per mole of atoms; DOS(E_F) = 0.434 states/eV per atom
1.0
2.094 -3.627 0.000
2.094 3.627 0.000
0.000 0.000 9.784
Cu Zr
4 4
direct
0.667 0.333 0.250
0.000 0.000 0.750
0.000 0.000 0.250
0.333 0.667 0.750
0.667 0.333 0.605
0.333 0.667 0.105
0.333 0.667 0.395
0.667 0.333 0.895

---

Entry 2:
ErSc2TaO8 PBE optimized geometry; formation energy (no corrections) = -2.8941 eV/atom; DOS(E_F) = 0.666 states/eV per atom
1.0
4.891 -0.007 -0.003
0.027 4.892 -0.005
0.004 0.007 6.592
Er O Ta Sc
1 8 1 2
direct
0.000 0.000 0.500
0.805 0.195 0.223
0.195 0.805 0.777
0.316 0.316 0.500
0.291 0.291 0.000
0.195 0.805 0.223
0.709 0.709 0.000
0.684 0.684 0.500
0.805 0.195 0.777
0.000 0.000 0.000
0.500 0.500 0.749
0.500 0.500 0.251

---

Entry 3:
CsSmVBr6 PBE optimized geometry; formation energy (no corrections) = -1.5143 eV/atom
1.0
7.153 0.000 0.000
3.576 6.194 0.000
0.000 0.000 8.278
Cs Br V Sm
1 6 1 1
direct
0.000 0.000 0.000
0.977 0.380 0.308
0.977 0.643 0.692
0.643 0.977 0.308
0.380 0.643 0.308
0.643 0.380 0.692
0.380 0.977 0.692
0.667 0.667 0.500
0.333 0.333 0.500

---

Entry 4:
Sm3CdRh8 PBE optimized geometry; energy relative to the elements = -53.3 kJ per mole of atoms; DOS(E_F) = 0.786 states/eV per atom
1.0
-4.381 -2.757 1.323
-0.491 -5.108 -1.485
2.228 -5.161 7.406
Sm Rh Cd
3 8 1
direct
0.504 0.504 0.488
0.996 0.996 0.013
0.376 0.376 0.873
0.437 0.437 0.188
0.938 0.938 0.686
0.688 0.688 0.937
0.438 0.938 0.686
0.188 0.188 0.437
0.938 0.437 0.188
0.437 0.938 0.188
0.938 0.438 0.686
0.873 0.873 0.380

---

Entry 5:
U2IrOs PBE optimized geometry; energy relative to the elements = 28.6 kJ per mole of atoms; DOS(E_F) = 2.338 states/eV per atom
1.0
-2.844 -0.458 0.290
-1.167 -2.486 -0.918
0.257 -5.100 8.913
Ir U Os
1 2 1
direct
0.500 0.500 0.500
0.085 0.085 0.745
0.915 0.915 0.255
0.000 0.000 0.000

---

Entry 6:
Tb3GaSi2Pt8 PBE optimized geometry; formation energy (no corrections) = -0.9321 eV/atom; DOS(E_F) = 0.595 states/eV per atom
1.0
5.457 0.000 0.000
-2.728 4.726 0.000
0.000 0.000 9.914
Pt Tb Si Ga
8 3 2 1
direct
0.166 0.834 0.286
0.166 0.331 0.286
0.834 0.166 0.714
0.333 0.667 0.877
0.331 0.166 0.714
0.667 0.333 0.123
0.834 0.669 0.714
0.669 0.834 0.286
0.000 0.000 0.000
0.333 0.667 0.579
0.667 0.333 0.421
0.667 0.333 0.894
0.333 0.667 0.106
0.000 0.000 0.500

---

Entry 7:
ErSc2Si PBE optimized geometry; formation energy (no corrections) = -0.3090 eV/atom; DOS(E_F) = 1.215 states/eV per atom
1.0
-3.032 -0.264 -3.211
-3.088 -0.899 2.989
-0.831 4.289 0.432
Sc Si Er
2 1 1
direct
0.000 0.000 0.500
0.000 0.500 0.000
0.500 0.000 0.000
0.500 0.500 0.500

---

Entry 8:
ZnBF2 PBE optimized geometry; formation energy (no corrections) = -0.0363 eV/atom; DOS(E_F) = 0.567 states/eV per atom
1.0
0.371 0.637 3.960
-2.453 -1.882 2.581
1.436 -2.913 2.383
B F Zn
1 2 1
direct
0.000 0.000 0.000
0.750 0.750 0.750
0.250 0.250 0.250
0.500 0.500 0.500